Entry 1:
Here is crystalline CsBa2NbAs at its relaxed geometry from the Alexandria database. Energies are from PBE-GGA.

The calculation puts the density of states at the Fermi level at 4.65 states/eV/cell. As for the formation energy: 1.4277 eV/atom.

It has space group P4/mmm (No. 123), with a = 6.533 Å, b = 6.533 Å, c = 5.670 Å, α = 90.00°, β = 90.00° and γ = 90.00°. Symmetry generates all atoms from Cs at (0.000, 0.000, 0.000), Ba at (0.000, 0.500, 0.000), Nb at (0.500, 0.500, 0.500) and As at (0.000, 0.000, 0.500).

***

Entry 2:
Here is crystalline La3SbH at its relaxed geometry from the Alexandria database. Energies are from PBE-GGA.

The calculation puts the density of states at the Fermi level at 9.84 states/eV/cell.

It has space group P-1 (No. 2), with a = 4.300 Å, b = 6.650 Å, c = 10.320 Å, α = 90.00°, β = 90.07° and γ = 108.85°. Symmetry generates all atoms from La at (0.054, 0.108, 0.250), La at (0.362, 0.724, 0.047), La at (0.363, 0.724, 0.453), Sb at (0.245, 0.490, 0.750) and H at (0.464, 0.928, 0.250).

***

Entry 3:
Here is crystalline NaZnNiI2 at its relaxed geometry from the Alexandria database. Energies are from PBE-GGA.

The calculation puts the density of states at the Fermi level at 8.65 states/eV/cell. The raw formation energy is 0.642 eV/atom.

It has space group P4/mmm (No. 123), with a = 5.869 Å, b = 5.869 Å, c = 5.117 Å, α = 90.00°, β = 90.00° and γ = 90.00°. Symmetry generates all atoms from Na at (0.000, 0.000, 0.000), Zn at (0.500, 0.500, 0.500), Ni at (0.000, 0.000, 0.500) and I at (0.000, 0.500, 0.000).

***

Entry 4:
Here is crystalline TiBi2PdO6 at its relaxed geometry from the Alexandria database. Energies are from PBE-GGA.

The raw formation energy is -1.532 eV/atom.

It has space group P1 (No. 1), with a = 5.359 Å, b = 5.404 Å, c = 5.839 Å, α = 62.87°, β = 67.65° and γ = 87.77°. Symmetry generates all atoms from Ti at (0.000, 0.000, 0.000), Bi at (0.325, 0.794, 0.407), Bi at (0.796, 0.251, 0.528), Pd at (0.500, 0.505, 0.985), O at (0.135, 0.634, 0.148), O at (0.165, 0.092, 0.588), O at (0.292, 0.170, 0.024), O at (0.677, 0.824, 0.991), O at (0.750, 0.927, 0.365) and O at (0.867, 0.381, 0.820).

***

Entry 5:
Here is crystalline Be2Cd at its relaxed geometry from the Alexandria database. Energies are from PBE-GGA.

The calculation puts the density of states at the Fermi level at 2.10 states/eV/cell. As for the formation energy: 0.4089 eV/atom.

It has space group Pnma (No. 62), with a = 6.364 Å, b = 3.755 Å, c = 7.019 Å, α = 90.00°, β = 90.00° and γ = 90.00°. Symmetry generates all atoms from Be at (0.055, 0.250, 0.219), Be at (0.068, 0.750, 0.060) and Cd at (0.170, 0.750, 0.426).

***

Entry 6:
Here is crystalline BaNd2Si6 at its relaxed geometry from the Alexandria database. Energies are from PBE-GGA.

The calculation puts the density of states at the Fermi level at 9.93 states/eV/cell. The raw formation energy is -0.374 eV/atom.

It has space group C2/m (No. 12), with a = 12.083 Å, b = 9.286 Å, c = 4.178 Å, α = 90.00°, β = 110.08° and γ = 90.00°. Symmetry generates all atoms from Ba at (0.000, 0.000, 0.000), Nd at (0.158, 0.500, 0.158), Si at (0.000, 0.357, 0.500) and Si at (0.187, 0.248, 0.688).

***

| no. | final energy (eV per atom) |
| --- | --- |
| 1 | -2.46 |
| 2 | -5.15 |
| 3 | -1.65 |
| 4 | -6.59 |
| 5 | -2.38 |
| 6 | -5.26 |